## a
Here is a geometry-optimized La2CeHo structure from the Alexandria database. Energies are from GGA-PBE.

The structure in CIF format:
```
data_La2CeHo
_chemical_formula_sum 'La6 Ce3 Ho3'
_cell_length_a 3.6149
_cell_length_b 3.6149
_cell_length_c 35.3867
_cell_angle_alpha 90.00
_cell_angle_beta 90.00
_cell_angle_gamma 120.00
_space_group_name_H-M_alt 'R 3 m'
_space_group_IT_number 160
_space_group_name_Hall 'R 3 -2"'
loop_
_atom_site_label
_atom_site_type_symbol
_atom_site_fract_x
_atom_site_fract_y
_atom_site_fract_z
La1 La 0.0000 0.0000 0.0000
La2 La 0.0000 0.0000 0.1648
Ce1 Ce 0.0000 0.0000 0.4156
Ho1 Ho 0.0000 0.0000 0.5835
```

---

## b
Here is a geometry-optimized La2CeHo structure from the Alexandria database. Energies are from GGA-PBE.

The structure in CIF format:
```
data_La2CeHo
_chemical_formula_sum 'La2 Ce1 Ho1'
_cell_length_a 3.581
_cell_length_b 3.581
_cell_length_c 10.206
_cell_angle_alpha 90.00
_cell_angle_beta 90.00
_cell_angle_gamma 90.00
_space_group_name_H-M_alt 'P 4/m m m'
_space_group_IT_number 123
_space_group_name_Hall '-P 4 2'
loop_
_atom_site_label
_atom_site_type_symbol
_atom_site_fract_x
_atom_site_fract_y
_atom_site_fract_z
La1 La 0.000 0.000 0.239
Ce1 Ce 0.500 0.500 0.000
Ho1 Ho 0.500 0.500 0.500
```

---

## c
Here is a geometry-optimized La2CeHo structure from the Alexandria database. Energies are from GGA-PBE.

The structure in CIF format:
```
data_La2CeHo
_chemical_formula_sum 'La8 Ce4 Ho4'
_cell_length_a 8.207
_cell_length_b 8.207
_cell_length_c 8.207
_cell_angle_alpha 90.00
_cell_angle_beta 90.00
_cell_angle_gamma 90.00
_space_group_name_H-M_alt 'F m -3 m'
_space_group_IT_number 225
_space_group_name_Hall '-F 4 2 3'
loop_
_atom_site_label
_atom_site_type_symbol
_atom_site_fract_x
_atom_site_fract_y
_atom_site_fract_z
La1 La 0.250 0.250 0.250
Ce1 Ce 0.000 0.000 0.000
Ho1 Ho 0.000 0.000 0.500
```

---

Energies relative to the most stable structure, in meV per atom: a 10; b 0; c 130.

---

## a
Here is a geometry-optimized La2CeHo structure from the Alexandria database. Energies are from GGA-PBE.

The structure in CIF format:
```
data_La2CeHo
_chemical_formula_sum 'La2 Ce1 Ho1'
_cell_length_a 5.138
_cell_length_b 5.138
_cell_length_c 5.068
_cell_angle_alpha 90.00
_cell_angle_beta 90.00
_cell_angle_gamma 90.00
_space_group_name_H-M_alt 'P 4/m m m'
_space_group_IT_number 123
_space_group_name_Hall '-P 4 2'
loop_
_atom_site_label
_atom_site_type_symbol
_atom_site_fract_x
_atom_site_fract_y
_atom_site_fract_z
La1 La 0.000 0.500 0.000
Ce1 Ce 0.000 0.000 0.500
Ho1 Ho 0.500 0.500 0.500
```

---

## b
Here is a geometry-optimized La2CeHo structure from the Alexandria database. Energies are from GGA-PBE.

The structure in CIF format:
```
data_La2CeHo
_chemical_formula_sum 'La6 Ce3 Ho3'
_cell_length_a 3.4802
_cell_length_b 3.4802
_cell_length_c 37.6732
_cell_angle_alpha 90.00
_cell_angle_beta 90.00
_cell_angle_gamma 120.00
_space_group_name_H-M_alt 'R -3 m'
_space_group_IT_number 166
_space_group_name_Hall '-R 3 2"'
loop_
_atom_site_label
_atom_site_type_symbol
_atom_site_fract_x
_atom_site_fract_y
_atom_site_fract_z
La1 La 0.0000 0.0000 0.0858
Ce1 Ce 0.0000 0.0000 0.0000
Ho1 Ho 0.0000 0.0000 0.5000
```

---

Energies relative to the most stable structure, in meV per atom: a 0; b 106.